Entry 1:
VASP calculation (PBE) on La5TbCd2In after structural relaxation.

Calculated values
As for the crystal system: tetragonal. The total moment is 0.0 μB/cell. As for the energy of formation from the pure elements: -0.116 eV/atom. For the calculated density, the calculation gives 6.52 g/cm³.

Cell: 11.279 11.279 11.279 Å, 139.16 139.16 59.14°
Fractional coordinates of all 18 atoms:
La 0.000 0.000 0.000
La 0.076 0.576 0.926
La 0.150 0.076 0.500
La 0.350 0.850 0.926
La 0.424 0.350 0.500
La 0.500 0.500 0.000
La 0.576 0.650 0.500
La 0.650 0.150 0.074
La 0.850 0.924 0.500
La 0.924 0.424 0.074
Tb 0.250 0.250 0.000
Tb 0.750 0.750 0.000
Cd 0.120 0.380 0.500
Cd 0.380 0.880 0.261
Cd 0.620 0.120 0.739
Cd 0.880 0.620 0.500
In 0.250 0.750 0.500
In 0.750 0.250 0.500

---

Entry 2:
VASP calculation (PBE) on Cd6Hg after structural relaxation.

Calculated values
As for the crystal system: cubic. The total moment is 0.0 μB/cell. As for the energy of formation from the pure elements: 0.334 eV/atom. For the calculated density, the calculation gives 5.41 g/cm³. For the energy above the most stable polymorph in this dataset, the calculation gives 288 meV/atom.

Cell: 8.128 8.128 8.128 Å, 90.00 90.00 90.00°
Fractional coordinates of all 14 atoms:
Cd 0.000 0.250 0.500
Cd 0.000 0.500 0.250
Cd 0.000 0.500 0.750
Cd 0.000 0.750 0.500
Cd 0.250 0.000 0.500
Cd 0.250 0.500 0.000
Cd 0.500 0.000 0.250
Cd 0.500 0.000 0.750
Cd 0.500 0.250 0.000
Cd 0.500 0.750 0.000
Cd 0.750 0.000 0.500
Cd 0.750 0.500 0.000
Hg 0.000 0.000 0.000
Hg 0.500 0.500 0.500

---

Entry 3:
VASP calculation (PBE) on HfNiAg3 after structural relaxation.

Calculated values
As for the crystal system: cubic. The total moment is 0.0 μB/cell. As for the energy of formation from the pure elements: 0.837 eV/atom. For the calculated density, the calculation gives 9.04 g/cm³. For the energy above the most stable polymorph in this dataset, the calculation gives 0 meV/atom.

Cell: 4.688 4.688 4.688 Å, 90.00 90.00 90.00°
Fractional coordinates of all 5 atoms:
Hf 0.000 0.000 0.000
Ni 0.500 0.500 0.500
Ag 0.000 0.500 0.500
Ag 0.500 0.000 0.500
Ag 0.500 0.500 0.000